[1]
Computed, not measured: an optimized crystal structure of Na3In3Sn at the PBE-GGA level of DFT.

a = 8.3893 Å, b = 8.3893 Å, c = 8.3893 Å
α = 58.42°, β = 58.42°, γ = 58.42°
Fractional coordinates of all 14 atoms:
Na: 0.7231 0.5581 0.0669
Na: 0.0669 0.7231 0.5581
Na: 0.5581 0.0669 0.7231
Na: 0.4419 0.9331 0.2769
Na: 0.9331 0.2769 0.4419
Na: 0.2769 0.4419 0.9331
In: 0.7223 0.1886 0.9167
In: 0.1886 0.9167 0.7223
In: 0.9167 0.7223 0.1886
In: 0.0833 0.2777 0.8114
In: 0.8114 0.0833 0.2777
In: 0.2777 0.8114 0.0833
Sn: 0.3466 0.3466 0.3466
Sn: 0.6534 0.6534 0.6534

Its offset from the most stable computed form is 0 meV per atom. As for the energy: -33.3 eV/cell. The value obtained for the formation energy is -0.07 eV per atom. As for the space group: R-3.

=====

[2]
Computed, not measured: an optimized crystal structure of NaIn4Sn at the PBE-GGA level of DFT.

a = 5.4775 Å, b = 8.5451 Å, c = 8.2172 Å
α = 90.00°, β = 109.47°, γ = 90.00°
Fractional coordinates of all 12 atoms:
Na: 0.3661 0.7500 0.7323
Na: 0.6339 0.2500 0.2677
In: 0.2374 0.4228 0.4748
In: 0.7626 0.5772 0.5252
In: 0.2374 0.0772 0.4748
In: 0.7626 0.9228 0.5252
In: 0.5627 0.7500 0.1255
In: 0.4373 0.2500 0.8745
In: 0.0000 0.5000 0.0000
In: 0.0000 0.0000 0.0000
Sn: 0.1512 0.7500 0.3023
Sn: 0.8488 0.2500 0.6977

Its offset from the most stable computed form is 109 meV per atom. As for the energy: -31.8 eV/cell. The value obtained for the formation energy is 0.06 eV per atom. As for the space group: Cmcm.

=====

[3]
Computed, not measured: an optimized crystal structure of Na3InSn at the PBE-GGA level of DFT.

a = 4.6620 Å, b = 7.2332 Å, c = 8.2760 Å
α = 87.66°, β = 90.00°, γ = 90.00°
Fractional coordinates of all 10 atoms:
Na: 0.6242 0.8077 0.5686
Na: 0.6240 0.9848 0.1693
Na: 0.1242 0.4916 0.6681
Na: 0.1242 0.2907 0.0786
Na: 0.1240 0.1136 0.4779
Na: 0.6242 0.6069 0.9791
In: 0.6247 0.4124 0.3517
In: 0.1247 0.6860 0.2955
Sn: 0.6248 0.1846 0.7933
Sn: 0.1248 0.9138 0.8540

Its offset from the most stable computed form is 8 meV per atom. As for the energy: -22.7 eV/cell. The value obtained for the formation energy is -0.13 eV per atom. As for the space group: P2_1/m.

=====

[4]
Computed, not measured: an optimized crystal structure of Na5In8Sn at the PBE-GGA level of DFT.

a = 8.2162 Å, b = 8.2162 Å, c = 8.2162 Å
α = 115.44°, β = 98.10°, γ = 115.44°
Fractional coordinates of all 14 atoms:
Na: 0.9657 0.4330 0.0902
Na: 0.9098 0.8755 0.3427
Na: 0.6573 0.5671 0.5327
Na: 0.5000 0.0000 0.5000
Na: 0.4673 0.1245 0.0343
In: 0.0367 0.7553 0.9476
In: 0.0524 0.0892 0.8077
In: 0.8422 0.2620 0.3971
In: 0.6029 0.4450 0.8649
In: 0.4198 0.5550 0.1578
In: 0.7186 0.9108 0.9633
In: 0.1923 0.2447 0.2814
In: 0.1351 0.7380 0.5802
Sn: 0.2500 0.5000 0.7500

As for the energy: -32.9 eV/cell. The value obtained for the formation energy is -0.03 eV per atom. As for the space group: I-4.

=====

[5]
Computed, not measured: an optimized crystal structure of NaIn6Sn2 at the PBE-GGA level of DFT.

a = 5.3752 Å, b = 5.3756 Å, c = 9.8173 Å
α = 90.00°, β = 90.00°, γ = 120.00°
Fractional coordinates of all 9 atoms:
Na: 0.0000 0.0000 0.5000
In: 0.6667 0.3334 0.0056
In: 0.3333 0.6666 0.9944
In: 0.0001 0.0001 0.1620
In: 0.3333 0.6666 0.3403
In: 0.9999 0.9999 0.8380
In: 0.6667 0.3334 0.6597
Sn: 0.3333 0.6667 0.6761
Sn: 0.6667 0.3333 0.3239

Its offset from the most stable computed form is 0 meV per atom. As for the energy: -26.1 eV/cell. The value obtained for the formation energy is -0.04 eV per atom. As for the space group: P-3m1.

=====

[6]
Computed, not measured: an optimized crystal structure of NaSr2In2Sn2 at the PBE-GGA level of DFT.

a = 5.3884 Å, b = 5.3884 Å, c = 9.5900 Å
α = 73.68°, β = 73.68°, γ = 60.00°
Fractional coordinates of all 7 atoms:
Na: 0.0000 0.0000 0.0000
Sr: 0.1240 0.1240 0.6279
Sr: 0.8760 0.8760 0.3721
In: 0.6202 0.6202 0.1393
In: 0.3798 0.3798 0.8607
Sn: 0.7362 0.7362 0.7913
Sn: 0.2638 0.2638 0.2087

As for the energy: -20.0 eV/cell. The value obtained for the formation energy is -0.27 eV per atom. As for the space group: R-3m.

=====

[7]
Computed, not measured: an optimized crystal structure of Na2SrIn2Sn2 at the PBE-GGA level of DFT.

a = 5.0023 Å, b = 5.0023 Å, c = 9.6895 Å
α = 75.04°, β = 75.04°, γ = 60.00°
Fractional coordinates of all 7 atoms:
Na: 0.1447 0.1447 0.5660
Na: 0.8553 0.8553 0.4340
Sr: 0.0000 0.0000 0.0000
In: 0.5594 0.5594 0.3219
In: 0.4406 0.4406 0.6781
Sn: 0.7370 0.7370 0.7891
Sn: 0.2630 0.2630 0.2109

As for the energy: -19.9 eV/cell. The value obtained for the formation energy is -0.30 eV per atom. As for the space group: R-3m.

=====

[8]
Computed, not measured: an optimized crystal structure of Na2SrInSn2 at the PBE-GGA level of DFT.

a = 4.8491 Å, b = 8.1540 Å, c = 9.3463 Å
α = 90.00°, β = 90.00°, γ = 90.00°
Fractional coordinates of all 12 atoms:
Na: 0.5000 0.0324 0.0759
Na: 0.0000 0.3489 0.1702
Na: 0.5000 0.5324 0.9241
Na: 0.0000 0.8489 0.8298
Sr: 0.0000 0.9928 0.4411
Sr: 0.0000 0.4928 0.5589
In: 0.5000 0.1538 0.6810
In: 0.5000 0.6538 0.3190
Sn: 0.0000 0.2365 0.8525
Sn: 0.5000 0.2811 0.3742
Sn: 0.0000 0.7365 0.1475
Sn: 0.5000 0.7811 0.6258

As for the energy: -34.2 eV/cell. The value obtained for the formation energy is -0.34 eV per atom. As for the space group: Pmc2_1.

=====

Number 1: N(E_F) 7.20 states/eV/cell. Number 2: N(E_F) 6.63 states/eV/cell. Number 3: N(E_F) 3.05 states/eV/cell. Number 4: N(E_F) 6.18 states/eV/cell. Number 5: N(E_F) 1.87 states/eV/cell. Number 6: N(E_F) 3.66 states/eV/cell. Number 7: N(E_F) 2.21 states/eV/cell. Number 8: N(E_F) 6.60 states/eV/cell.